# AsAuO3 (GGA-PBE, optimized geometry)
# * raw formation energy: -662.4 meV/atom
# * uncorrected energy: -26.11 eV per formula unit
data_AsAuO3
_chemical_formula_sum 'As8 Au8 O24'
_cell_length_a 13.033
_cell_length_b 11.759
_cell_length_c 4.998
_cell_angle_alpha 90.00
_cell_angle_beta 103.97
_cell_angle_gamma 90.00
_space_group_name_H-M_alt 'C 1 2/c 1'
_space_group_IT_number 15
loop_
_space_group_symop_operation_xyz
'x,y,z'
'-x,-y,-z'
'-x,y,-z+1/2'
'x,-y,z+1/2'
'x+1/2,y+1/2,z'
'-x+1/2,-y+1/2,-z'
'-x+1/2,y+1/2,-z+1/2'
'x+1/2,-y+1/2,z+1/2'
loop_
_atom_site_label
_atom_site_type_symbol
_atom_site_fract_x
_atom_site_fract_y
_atom_site_fract_z
As1 As 0.231 0.085 0.208
Au1 Au 0.000 0.189 0.250
Au2 Au 0.000 0.402 0.750
O1 O 0.141 0.391 0.640
O2 O 0.155 0.199 0.238
O3 O 0.192 0.045 0.852